# Li2BIrW

A relaxed structure of Li2BIrW (GGA-PBE, the Alexandria database).

Values from the calculation:
Space-group type   No. 123
Size of the total moment   0.00 μB/f.u.
N(E_F)   0.51 states/eV/atom
ΔH_f (0 K)   7.74 eV/f.u.

a = 4.2233 Å, b = 4.2233 Å, c = 4.8173 Å
α = 90.00°, β = 90.00°, γ = 90.00°
Last column: nearest neighbours and their distance in Å.
Positions (direct):
Li 0.0000 0.5000 0.0000  2 Ir 2.11
Li 0.5000 0.0000 0.0000  2 Ir 2.11
B 0.0000 0.0000 0.5000  4 W 2.99, 8 Li 3.20
Ir 0.5000 0.5000 0.0000  4 Li 2.11
W 0.5000 0.5000 0.5000  2 Ir 2.41